Entry 1:
# Be2ZnSb

A relaxed structure of Be2ZnSb (PBE, the Alexandria database).

Summary:
Total magnetization (μB/f.u.): 0.00
Symmetry: Cmmm (65)
Uncorrected formation energy (meV/atom): 608
E above lowest polymorph (kJ/mol of atoms): 26.8

a = 4.6705 Å, b = 4.6705 Å, c = 2.9606 Å
α = 90.00°, β = 90.00°, γ = 107.02°
Closest atoms and distances in Å follow each position.
Element x y z (fractional)
Be1 0.0000 0.5000 0.0000  4 Sb 2.76, 4 Zn 2.76, 4 Be 2.78-2.96
Be2 0.5000 0.0000 0.0000  4 Sb 2.76, 4 Zn 2.76, 4 Be 2.78-2.96
Zn1 0.0000 0.0000 0.5000  8 Be 2.76, 2 Sb 2.78, 2 Zn 2.96
Sb1 0.5000 0.5000 0.5000  8 Be 2.76, 2 Zn 2.78, 2 Sb 2.96

***

Entry 2:
# BeZn2Sb

A relaxed structure of BeZn2Sb (PBE, the Alexandria database).

Summary:
Total magnetization (μB/f.u.): 0.00
Symmetry: I-42d (122)
Uncorrected formation energy (meV/atom): 242
E above lowest polymorph (kJ/mol of atoms): 0.0

a = 8.6827 Å, b = 8.6827 Å, c = 8.6827 Å
α = 151.61°, β = 151.61°, γ = 40.58°
Closest atoms and distances in Å follow each position.
Element x y z (fractional)
Be1 0.0000 0.0000 0.0000  4 Zn 2.39
Be2 0.7500 0.2500 0.5000  4 Zn 2.39
Zn1 0.0333 0.6250 0.9083  2 Be 2.39, 2 Zn 2.52
Zn2 0.3750 0.2833 0.4083  2 Be 2.39, 2 Zn 2.52
Zn3 0.7167 0.1250 0.0917  2 Be 2.39, 2 Zn 2.52
Zn4 0.8750 0.9667 0.5917  2 Be 2.39, 2 Zn 2.52
Sb1 0.2500 0.7500 0.5000  4 Zn 2.72, 4 Be 3.01
Sb2 0.5000 0.5000 0.0000  4 Zn 2.72, 4 Be 3.01

***

Entry 3:
# BeZn2Sb

A relaxed structure of BeZn2Sb (PBE, the Alexandria database).

Summary:
Total magnetization (μB/f.u.): 0.00
Symmetry: P4/mmm (123)
Uncorrected formation energy (meV/atom): 324
E above lowest polymorph (kJ/mol of atoms): 7.9

a = 2.9701 Å, b = 2.9701 Å, c = 7.7865 Å
α = 90.00°, β = 90.00°, γ = 90.00°
Closest atoms and distances in Å follow each position.
Element x y z (fractional)
Be1 0.0000 0.0000 0.0000  8 Zn 2.52
Zn1 0.5000 0.5000 0.1787  4 Be 2.52, 1 Zn 2.78
Zn2 0.5000 0.5000 0.8213  4 Be 2.52, 1 Zn 2.78
Sb1 0.0000 0.0000 0.5000  4 Sb 2.97, 8 Zn 3.27

***

Entry 4:
# BeZnSb2

A relaxed structure of BeZnSb2 (PBE, the Alexandria database).

Summary:
Total magnetization (μB/f.u.): 0.00
Symmetry: Immm (71)
Uncorrected formation energy (meV/atom): 404
E above lowest polymorph (kJ/mol of atoms): 20.1

a = 5.2133 Å, b = 5.2133 Å, c = 5.2133 Å
α = 136.79°, β = 114.97°, γ = 81.31°
Closest atoms and distances in Å follow each position.
Element x y z (fractional)
Be1 0.0000 0.0000 0.0000  4 Sb 2.54
Zn1 0.5000 0.5000 0.0000  8 Sb 2.99-3.26
Sb1 0.2108 0.7108 0.5000  2 Be 2.54
Sb2 0.7892 0.2892 0.5000  2 Be 2.54